Version P
This record from OQMD describes a relaxed structure of TaAgPO. The functional is PBE.

## Properties
Magnetization, μB per atom: 0.0000
Space-group type: P4/nmm

Unit cell a=4.8211 b=4.8211 c=4.8247 alpha=90.00 beta=90.00 gamma=90.00
Last column: nearest neighbours and their distance in Å.
Sites, in units of the cell vectors:
P1 0.5000 0.0000 0.3628  2 Ag 2.41-2.42, 4 Ta 2.50
P2 0.0000 0.5000 0.6372  2 Ag 2.41-2.42, 4 Ta 2.50
Ta1 0.0000 0.0000 0.5000  2 O 2.41, 4 P 2.50
Ta2 0.5000 0.5000 0.5000  2 O 2.41, 4 P 2.50
O1 0.5000 0.5000 0.0000  2 Ta 2.41, 4 Ag 2.50
O2 0.0000 0.0000 0.0000  2 Ta 2.41, 4 Ag 2.50
Ag1 0.5000 0.0000 0.8637  2 P 2.41-2.42, 4 O 2.50
Ag2 0.0000 0.5000 0.1363  2 P 2.41-2.42, 4 O 2.50


Version Q
This record from OQMD describes a relaxed structure of TaAgPO. The functional is PBE.

## Properties
Magnetization, μB per atom: 0.0013
Space-group type: P4/nmm

Unit cell a=3.5584 b=3.5584 c=8.8231 alpha=90.00 beta=90.00 gamma=90.00
Last column: nearest neighbours and their distance in Å.
Sites, in units of the cell vectors:
Ag1 0.5000 0.5000 0.5000  4 Ag 2.52, 4 P 2.73
Ag2 0.0000 0.0000 0.5000  4 Ag 2.52, 4 P 2.73
Ta1 0.5000 0.0000 0.8531  4 O 2.20
Ta2 0.0000 0.5000 0.1469  4 O 2.20
P1 0.0000 0.5000 0.7341  4 Ag 2.73, 4 Ta 2.73, 4 O 2.94
P2 0.5000 0.0000 0.2659  4 Ag 2.73, 4 Ta 2.73, 4 O 2.94
O1 0.0000 0.0000 0.0000  4 Ta 2.20
O2 0.5000 0.5000 0.0000  4 Ta 2.20


Which is most stable? The ranking, best first, is version Q, version P.


Version P
This record from OQMD describes a relaxed structure of TaAgPO. The functional is PBE.

## Properties
Magnetization, μB per atom: 0.0002
Space-group type: Pmc2_1

Unit cell a=3.9287 b=6.6243 c=5.0856 alpha=90.00 beta=90.00 gamma=90.00
Last column: nearest neighbours and their distance in Å.
Sites, in units of the cell vectors:
Ag1 0.0000 0.4324 0.9893  2 P 2.45, 1 O 2.66, 2 Ag 2.70
Ag2 0.0000 0.5676 0.4893  2 P 2.45, 1 O 2.66, 2 Ag 2.70
O1 0.0000 0.1694 0.4282  2 Ta 1.97
O2 0.0000 0.8306 0.9282  2 Ta 1.97
Ta1 0.5000 0.1518 0.4203  2 O 1.97
Ta2 0.5000 0.8482 0.9203  2 O 1.97
P1 0.5000 0.2188 0.9162  2 Ag 2.45, 3 Ta 2.45-2.60
P2 0.5000 0.7812 0.4162  2 Ag 2.45, 3 Ta 2.45-2.60


Version Q
This record from OQMD describes a relaxed structure of TaAgPO. The functional is PBE.

## Properties
Magnetization, μB per atom: 0.0001
Space-group type: Pmc2_1

Unit cell a=3.3297 b=6.5829 c=6.0188 alpha=90.00 beta=90.00 gamma=90.00
Last column: nearest neighbours and their distance in Å.
Sites, in units of the cell vectors:
O1 0.5000 0.6867 0.7929  2 Ta 1.94-1.99
O2 0.5000 0.3133 0.2929  2 Ta 1.94-1.99
Ta1 0.5000 0.5379 0.0709  2 O 1.94-1.99
Ta2 0.5000 0.4621 0.5709  2 O 1.94-1.99
P1 0.0000 0.7046 0.3370  2 Ag 2.47, 4 Ta 2.56-2.70
P2 0.0000 0.2954 0.8370  2 Ag 2.47, 4 Ta 2.56-2.70
Ag1 0.0000 0.0239 0.5532  2 P 2.47
Ag2 0.0000 0.9761 0.0532  2 P 2.47


Which is most stable? The ranking, best first, is version Q, version P.


Version P
This record from OQMD describes a relaxed structure of TcAgPO. The functional is PBE.

## Properties
Magnetization, μB per atom: 0.0002
Space-group type: P4/nmm

Unit cell a=4.4314 b=4.4314 c=5.3350 alpha=90.00 beta=90.00 gamma=90.00
Last column: nearest neighbours and their distance in Å.
Sites, in units of the cell vectors:
Ag1 0.0000 0.5000 0.1338  4 O 2.33, 1 P 2.50
Ag2 0.5000 0.0000 0.8662  4 O 2.33, 1 P 2.50
Tc1 0.0000 0.0000 0.5000  4 P 2.38, 2 O 2.67
Tc2 0.5000 0.5000 0.5000  4 P 2.38, 2 O 2.67
P1 0.5000 0.0000 0.3347  4 Tc 2.38, 1 Ag 2.50
P2 0.0000 0.5000 0.6653  4 Tc 2.38, 1 Ag 2.50
O1 0.5000 0.5000 0.0000  4 Ag 2.33
O2 0.0000 0.0000 0.0000  4 Ag 2.33


Version Q
This record from OQMD describes a relaxed structure of TcAgPO. The functional is PBE.

## Properties
Magnetization, μB per atom: 0.1532
Space-group type: P4/nmm

Unit cell a=3.5297 b=3.5297 c=8.8663 alpha=90.00 beta=90.00 gamma=90.00
Last column: nearest neighbours and their distance in Å.
Sites, in units of the cell vectors:
Ag1 0.0000 0.0000 0.5000  4 Ag 2.50, 4 P 2.75
Ag2 0.5000 0.5000 0.5000  4 Ag 2.50, 4 P 2.75
Tc1 0.0000 0.5000 0.1395  4 O 2.16
Tc2 0.5000 0.0000 0.8605  4 O 2.16
O1 0.5000 0.5000 0.0000  4 Tc 2.16
O2 0.0000 0.0000 0.0000  4 Tc 2.16
P1 0.0000 0.5000 0.7385  4 Tc 2.72, 4 Ag 2.75, 4 O 2.91
P2 0.5000 0.0000 0.2615  4 Tc 2.72, 4 Ag 2.75, 4 O 2.91


Which is most stable? The ranking, best first, is version P, version Q.


Version P
This record from OQMD describes a relaxed structure of TcAgPO. The functional is PBE.

## Properties
Magnetization, μB per atom: 0.0033
Space-group type: Pmc2_1

Unit cell a=3.5375 b=6.4708 c=6.0858 alpha=90.00 beta=90.00 gamma=90.00
Last column: nearest neighbours and their distance in Å.
Sites, in units of the cell vectors:
Tc1 0.5000 0.6947 0.4834  2 O 1.93
Tc2 0.5000 0.3053 0.9834  2 O 1.93
O1 0.0000 0.7942 0.4146  2 Tc 1.93
O2 0.0000 0.2058 0.9146  2 Tc 1.93
Ag1 0.0000 0.1538 0.5104  2 O 2.40-2.48, 2 P 2.47
Ag2 0.0000 0.8462 0.0104  2 O 2.40-2.48, 2 P 2.47
P1 0.5000 0.6281 0.8457  2 Tc 2.25, 2 Ag 2.47
P2 0.5000 0.3719 0.3457  2 Tc 2.25, 2 Ag 2.47


Version Q
This record from OQMD describes a relaxed structure of TcAgPO. The functional is PBE.

## Properties
Magnetization, μB per atom: 0.0121
Space-group type: Pmc2_1

Unit cell a=2.9521 b=6.9352 c=5.7168 alpha=90.00 beta=90.00 gamma=90.00
Last column: nearest neighbours and their distance in Å.
Sites, in units of the cell vectors:
O1 0.5000 0.2938 0.3763  2 Tc 2.02
O2 0.5000 0.7062 0.8763  2 Tc 2.02
P1 0.0000 0.3086 0.8766  1 Ag 2.39, 4 Tc 2.45
P2 0.0000 0.6914 0.3766  1 Ag 2.39, 4 Tc 2.45
Tc1 0.5000 0.4999 0.1264  2 O 2.02
Tc2 0.5000 0.5001 0.6264  2 O 2.02
Ag1 0.0000 0.0354 0.3747  2 O 2.32, 1 P 2.39
Ag2 0.0000 0.9646 0.8747  2 O 2.32, 1 P 2.39


Which is most stable? The ranking, best first, is version Q, version P.